No. 1
First-principles (PBEsol) data for crystalline SrBeTe2 at its relaxed geometry, as listed in the Alexandria database.

- Energy relative to the elements, uncorrected: -232.1 meV/atom

Cell lengths 4.3227, 4.3227, 11.3418 Å; angles 90.00, 90.00, 90.00 degrees
With the nearest neighbours (Å) after each atom.
Space group I-4m2 (No. 119)
Asymmetric unit:
1 Sr 0.0000 0.0000 0.0000 [2 per cell]  4 Te 3.06
2 Be 0.0000 0.5000 0.7500 [2 per cell]  4 Te 3.06
3 Te 0.0000 0.0000 0.5000 [2 per cell]  4 Sr 3.06
4 Te 0.0000 0.5000 0.2500 [2 per cell]  4 Be 3.06


No. 2
First-principles (PBEsol) data for crystalline SrBe2Tl at its relaxed geometry, as listed in the Alexandria database.

- Formation energy from the elements: 20 kJ/mol of atoms

Cell lengths 4.1903, 4.1903, 16.4804 Å; angles 90.00, 90.00, 120.00 degrees
With the nearest neighbours (Å) after each atom.
Space group R-3m (No. 166, hexagonal axes)
Asymmetric unit:
1 Sr 0.0000 0.0000 0.0000 [3 per cell]  8 Be 3.18-3.35
2 Be 0.0000 0.0000 0.1927 [6 per cell]  3 Tl 2.46, 3 Be 2.57
3 Tl 0.0000 0.0000 0.5000 [3 per cell]  6 Be 2.46


No. 3
First-principles (PBEsol) data for crystalline SrBeTl2 at its relaxed geometry, as listed in the Alexandria database.

- Formation energy from the elements: 15 kJ/mol of atoms

Cell lengths 7.3131, 7.3131, 7.3131 Å; angles 90.00, 90.00, 90.00 degrees
With the nearest neighbours (Å) after each atom.
Space group Fm-3m (No. 225)
Asymmetric unit:
1 Sr 0.0000 0.0000 0.0000 [4 per cell]  8 Tl 3.17
2 Be 0.0000 0.0000 0.5000 [4 per cell]  8 Tl 3.17
3 Tl 0.2500 0.2500 0.2500 [8 per cell]  4 Be 3.17, 4 Sr 3.17


No. 4
First-principles (PBEsol) data for crystalline SrBeTl2 at its relaxed geometry, as listed in the Alexandria database.

- Formation energy from the elements: 11 kJ/mol of atoms

Cell lengths 4.4455, 4.0850, 11.7035 Å; angles 90.00, 90.00, 90.00 degrees
With the nearest neighbours (Å) after each atom.
Space group Amm2 (No. 38)
Asymmetric unit:
1 Sr 0.0000 0.0000 0.0000 [2 per cell]  7 Tl 3.28-3.67, 4 Be 3.42
2 Be 0.5000 0.0000 0.6369 [2 per cell]  2 Tl 2.42
3 Tl 0.0000 0.0000 0.7193 [2 per cell]  2 Be 2.42
4 Tl 0.5000 0.0000 0.3213 [2 per cell]  2 Be 2.97, 4 Tl 3.25


No. 5
First-principles (PBEsol) data for crystalline SrBeTl at its relaxed geometry, as listed in the Alexandria database.

- Formation energy from the elements: 0 kJ/mol of atoms

Cell lengths 4.5074, 4.5074, 4.2563 Å; angles 90.00, 90.00, 120.00 degrees
With the nearest neighbours (Å) after each atom.
Space group P-6m2 (No. 187)
Asymmetric unit:
1 Sr 0.0000 0.0000 0.0000 [1 per cell]  6 Tl 3.36, 6 Be 3.36
2 Be 0.6667 0.3333 0.5000 [1 per cell]  3 Tl 2.60
3 Tl 0.3333 0.6667 0.5000 [1 per cell]  3 Be 2.60


No. 6
First-principles (PBEsol) data for crystalline Sr2BeTl at its relaxed geometry, as listed in the Alexandria database.

- Formation energy from the elements: 4 kJ/mol of atoms

Cell lengths 3.8109, 3.8109, 7.9368 Å; angles 90.00, 90.00, 90.00 degrees
With the nearest neighbours (Å) after each atom.
Space group P4/mmm (No. 123)
Asymmetric unit:
1 Sr 0.0000 0.0000 0.2280 [2 per cell]  4 Be 3.25, 4 Tl 3.45, 1 Sr 3.62
2 Be 0.5000 0.5000 0.0000 [1 per cell]  8 Sr 3.25
3 Tl 0.5000 0.5000 0.5000 [1 per cell]  8 Sr 3.45, 4 Tl 3.81


No. 7
First-principles (PBEsol) data for crystalline Sr4BeTl at its relaxed geometry, as listed in the Alexandria database.

- Formation energy from the elements: 72 kJ/mol of atoms

Cell lengths 9.8233, 9.8233, 9.8233 Å; angles 90.00, 90.00, 90.00 degrees
With the nearest neighbours (Å) after each atom.
Space group F-43m (No. 216)
Asymmetric unit:
1 Sr 0.1250 0.1250 0.1250 [16 per cell]  6 Sr 3.47
2 Be 0.0000 0.0000 0.5000 [4 per cell]  12 Sr 4.07, 4 Tl 4.25
3 Tl 0.2500 0.2500 0.7500 [4 per cell]  12 Sr 4.07, 4 Be 4.25


No. 8
First-principles (PBEsol) data for crystalline Sr2BeTl at its relaxed geometry, as listed in the Alexandria database.

- Formation energy from the elements: 6 kJ/mol of atoms

Cell lengths 7.7682, 7.7682, 7.7682 Å; angles 90.00, 90.00, 90.00 degrees
With the nearest neighbours (Å) after each atom.
Space group Fm-3m (No. 225)
Asymmetric unit:
1 Sr 0.2500 0.2500 0.2500 [8 per cell]  4 Tl 3.36, 4 Be 3.36
2 Be 0.0000 0.0000 0.0000 [4 per cell]  8 Sr 3.36
3 Tl 0.0000 0.0000 0.5000 [4 per cell]  8 Sr 3.36